The following is a PBE-GGA calculation of a relaxed structure of PmSmY5Tm2, from Alexandria.

## Properties
- Energy of formation: 0.160 eV per atom
- Fermi-level density of states: 1.73 states/eV per atom

Unit cell a=10.449 b=10.449 c=10.473 alpha=90.00 beta=90.00 gamma=148.72
Fractional positions:
Pm 0.085 0.915 0.500
Pm 0.915 0.085 0.000
Sm 0.303 0.697 0.070
Sm 0.697 0.303 0.570
Y 0.023 0.977 0.791
Y 0.112 0.888 0.080
Y 0.201 0.799 0.762
Y 0.222 0.778 0.373
Y 0.484 0.516 0.078
Y 0.516 0.484 0.578
Y 0.778 0.222 0.873
Y 0.799 0.201 0.262
Y 0.888 0.112 0.580
Y 0.977 0.023 0.291
Tm 0.387 0.613 0.374
Tm 0.388 0.612 0.789
Tm 0.612 0.388 0.289
Tm 0.613 0.387 0.874